(1)
# Np2Tl3AuS6 PBE optimized geometry
data_Np2Tl3AuS6
_chemical_formula_sum 'Np4 Tl6 Au2 S12'
_cell_length_a 6.725
_cell_length_b 12.632
_cell_length_c 7.647
_cell_angle_alpha 90.00
_cell_angle_beta 103.89
_cell_angle_gamma 90.00
_space_group_name_H-M_alt 'C 1 2/m 1'
_space_group_IT_number 12
loop_
_space_group_symop_operation_xyz
'x,y,z'
'-x,-y,-z'
'-x,y,-z'
'x,-y,z'
'x+1/2,y+1/2,z'
'-x+1/2,-y+1/2,-z'
'-x+1/2,y+1/2,-z'
'x+1/2,-y+1/2,z'
loop_
_atom_site_label
_atom_site_fract_x
_atom_site_fract_y
_atom_site_fract_z
Np1 0.000 0.167 0.000
Tl1 0.000 0.000 0.500
Tl2 0.000 0.352 0.500
Au1 0.000 0.500 0.000
S1 0.235 0.000 0.162
S2 0.238 0.200 0.778
# Total DFT energy (no corrections): -140.48 eV/cell
# Size of the total moment: 0.5000 μB per atom
# Uncorrected formation energy: -0.77 eV per atom
# N(E_F): 1.610 states/eV/atom



(2)
# TbSmDyY2 PBE optimized geometry
data_TbSmDyY2
_chemical_formula_sum 'Tb4 Sm4 Dy4 Y8'
_cell_length_a 8.431
_cell_length_b 11.471
_cell_length_c 7.218
_cell_angle_alpha 90.00
_cell_angle_beta 90.00
_cell_angle_gamma 90.00
_space_group_name_H-M_alt 'C m c m'
_space_group_IT_number 63
_space_group_name_Hall '-C 2c 2'
loop_
_atom_site_label
_atom_site_fract_x
_atom_site_fract_y
_atom_site_fract_z
Tb1 0.000 0.004 0.250
Sm1 0.000 0.273 0.250
Dy1 0.000 0.273 0.750
Y1 0.190 0.500 0.000
# Energy relative to the elements: 0.396 eV per atom
# Total DFT energy (no corrections): -99.61 eV/cell
# Size of the total moment: 0.0000 μB per atom
# N(E_F): 1.484 states/eV/atom



(3)
# Pm3Sm7Dy PBE optimized geometry
data_Pm3Sm7Dy
_chemical_formula_sum 'Pm6 Sm14 Dy2'
_cell_length_a 5.936
_cell_length_b 11.323
_cell_length_c 11.352
_cell_angle_alpha 90.00
_cell_angle_beta 90.00
_cell_angle_gamma 90.00
_space_group_name_H-M_alt 'I m m m'
_space_group_IT_number 71
_space_group_name_Hall '-I 2 2'
loop_
_atom_site_label
_atom_site_fract_x
_atom_site_fract_y
_atom_site_fract_z
Pm1 0.000 0.000 0.000
Pm2 0.000 0.291 0.500
Sm1 0.000 0.000 0.500
Sm2 0.000 0.204 0.199
Sm3 0.000 0.500 0.292
Dy1 0.000 0.500 0.000
# Energy relative to the elements: 0.241 eV per atom
# Total DFT energy (no corrections): -98.47 eV/cell
# E above lowest polymorph: 0.009 eV/atom
# Size of the total moment: 0.0116 μB per atom
# N(E_F): 1.524 states/eV/atom



(4)
# MgCdPt14 PBE optimized geometry
data_MgCdPt14
_chemical_formula_sum 'Mg1 Cd1 Pt14'
_cell_length_a 5.658
_cell_length_b 5.658
_cell_length_c 7.917
_cell_angle_alpha 90.00
_cell_angle_beta 90.00
_cell_angle_gamma 90.00
_space_group_name_H-M_alt 'P 4/m m m'
_space_group_IT_number 123
_space_group_name_Hall '-P 4 2'
loop_
_atom_site_label
_atom_site_fract_x
_atom_site_fract_y
_atom_site_fract_z
Mg1 0.000 0.000 0.000
Cd1 0.500 0.500 0.000
Pt1 0.000 0.000 0.500
Pt2 0.000 0.500 0.000
Pt3 0.000 0.500 0.500
Pt4 0.247 0.247 0.251
Pt5 0.500 0.500 0.500
# Energy relative to the elements: -0.191 eV per atom
# Total DFT energy (no corrections): -90.14 eV/cell
# Size of the total moment: 0.0000 μB per atom
# N(E_F): 1.687 states/eV/atom



Look up the N(E_F) of the third one. 1.524 states/eV/atom



Which of these has the highest total DFT energy (no corrections)? MgCdPt14